Entry 1:
First-principles (GGA-PBE) data for a relaxed structure of Zr3VP, as listed in Alexandria.

* offset from the most stable computed form: 0.00 kJ per mole of atoms
* ρ: 5.1 g/cm³
* DFT formation energy: -2 meV/atom
* total magnetic moment: 2.86 μB/f.u.
* crystal system: cubic
* total DFT energy (no corrections): -8.04 eV/atom

CIF file:
```
data_Zr3VP
_chemical_formula_sum 'Zr3 V1 P1'
_symmetry_space_group_name_H-M 'P m -3 m'
_symmetry_Int_Tables_number 221
_symmetry_space_group_name_Hall '-P 4 2 3'
_cell_length_a 4.874
_cell_length_b 4.874
_cell_length_c 4.874
_cell_angle_alpha 90.00
_cell_angle_beta 90.00
_cell_angle_gamma 90.00
loop_
_atom_site_label
_atom_site_fract_x
_atom_site_fract_y
_atom_site_fract_z
_atom_site_occupancy
Zr1 0.000 0.000 0.500 1
V1 0.500 0.500 0.500 1
P1 0.000 0.000 0.000 1
```

=====

Entry 2:
First-principles (GGA-PBE) data for a relaxed structure of ZrV2P2, as listed in Alexandria.

* offset from the most stable computed form: 29.46 kJ per mole of atoms
* ρ: 5.5 g/cm³
* DFT formation energy: -507 meV/atom
* total magnetic moment: 0.00 μB/f.u.
* crystal system: tetragonal
* total DFT energy (no corrections): -8.03 eV/atom

CIF file:
```
data_ZrV2P2
_chemical_formula_sum 'Zr2 V4 P4'
_symmetry_space_group_name_H-M 'I 4/m m m'
_symmetry_Int_Tables_number 139
_symmetry_space_group_name_Hall '-I 4 2'
_cell_length_a 4.449
_cell_length_b 4.449
_cell_length_c 7.811
_cell_angle_alpha 90.00
_cell_angle_beta 90.00
_cell_angle_gamma 90.00
loop_
_atom_site_label
_atom_site_fract_x
_atom_site_fract_y
_atom_site_fract_z
_atom_site_occupancy
Zr1 0.000 0.000 0.000 1
V1 0.000 0.000 0.370 1
P1 0.000 0.500 0.250 1
```

=====

Entry 3:
First-principles (GGA-PBE) data for a relaxed structure of ZrV3P, as listed in Alexandria.

* offset from the most stable computed form: 0.00 kJ per mole of atoms
* ρ: 5.4 g/cm³
* DFT formation energy: 22 meV/atom
* total magnetic moment: 1.02 μB/f.u.
* crystal system: cubic
* total DFT energy (no corrections): -8.24 eV/atom

CIF file:
```
data_ZrV3P
_chemical_formula_sum 'Zr1 V3 P1'
_symmetry_space_group_name_H-M 'P m -3 m'
_symmetry_Int_Tables_number 221
_symmetry_space_group_name_Hall '-P 4 2 3'
_cell_length_a 4.388
_cell_length_b 4.388
_cell_length_c 4.388
_cell_angle_alpha 90.00
_cell_angle_beta 90.00
_cell_angle_gamma 90.00
loop_
_atom_site_label
_atom_site_fract_x
_atom_site_fract_y
_atom_site_fract_z
_atom_site_occupancy
Zr1 0.000 0.000 0.000 1
V1 0.000 0.500 0.500 1
P1 0.500 0.500 0.500 1
```

=====

Entry 4:
First-principles (GGA-PBE) data for a relaxed structure of Zr2VP2, as listed in Alexandria.

* offset from the most stable computed form: 69.47 kJ per mole of atoms
* ρ: 5.4 g/cm³
* DFT formation energy: -313 meV/atom
* total magnetic moment: 2.85 μB/f.u.
* crystal system: tetragonal
* total DFT energy (no corrections): -7.72 eV/atom

CIF file:
```
data_Zr2VP2
_chemical_formula_sum 'Zr4 V2 P4'
_symmetry_space_group_name_H-M 'P 4/m b m'
_symmetry_Int_Tables_number 127
_symmetry_space_group_name_Hall '-P 4 2ab'
_cell_length_a 7.345
_cell_length_b 7.345
_cell_length_c 3.367
_cell_angle_alpha 90.00
_cell_angle_beta 90.00
_cell_angle_gamma 90.00
loop_
_atom_site_label
_atom_site_fract_x
_atom_site_fract_y
_atom_site_fract_z
_atom_site_occupancy
Zr1 0.146 0.354 0.000 1
V1 0.000 0.000 0.000 1
P1 0.155 0.655 0.500 1
```

=====

Entry 5:
First-principles (GGA-PBE) data for a relaxed structure of Zr2VP2, as listed in Alexandria.

* offset from the most stable computed form: 74.93 kJ per mole of atoms
* ρ: 5.4 g/cm³
* DFT formation energy: -257 meV/atom
* total magnetic moment: 2.66 μB/f.u.
* crystal system: tetragonal
* total DFT energy (no corrections): -7.66 eV/atom

CIF file:
```
data_Zr2VP2
_chemical_formula_sum 'Zr4 V2 P4'
_symmetry_space_group_name_H-M 'I 4/m m m'
_symmetry_Int_Tables_number 139
_symmetry_space_group_name_Hall '-I 4 2'
_cell_length_a 3.434
_cell_length_b 3.434
_cell_length_c 15.351
_cell_angle_alpha 90.00
_cell_angle_beta 90.00
_cell_angle_gamma 90.00
loop_
_atom_site_label
_atom_site_fract_x
_atom_site_fract_y
_atom_site_fract_z
_atom_site_occupancy
Zr1 0.000 0.000 0.112 1
V1 0.000 0.000 0.500 1
P1 0.000 0.500 0.250 1
```

=====

Entry 6:
First-principles (GGA-PBE) data for a relaxed structure of Zr3VP, as listed in Alexandria.

* offset from the most stable computed form: 63.80 kJ per mole of atoms
* ρ: 5.3 g/cm³
* DFT formation energy: 659 meV/atom
* total magnetic moment: 0.00 μB/f.u.
* crystal system: cubic
* total DFT energy (no corrections): -7.38 eV/atom

CIF file:
```
data_Zr3VP
_chemical_formula_sum 'Zr3 V1 P1'
_symmetry_space_group_name_H-M 'P m -3 m'
_symmetry_Int_Tables_number 221
_symmetry_space_group_name_Hall '-P 4 2 3'
_cell_length_a 4.815
_cell_length_b 4.815
_cell_length_c 4.815
_cell_angle_alpha 90.00
_cell_angle_beta 90.00
_cell_angle_gamma 90.00
loop_
_atom_site_label
_atom_site_fract_x
_atom_site_fract_y
_atom_site_fract_z
_atom_site_occupancy
Zr1 0.000 0.000 0.500 1
V1 0.000 0.000 0.000 1
P1 0.500 0.500 0.500 1
```